<w>
Computed, not measured: NdSmCd after structural relaxation at the GGA-PBE level of DFT.

a b c (Å): 3.7299 3.7299 7.0771
angles (deg): 105.28 105.28 90.00
Closest atoms and distances in Å follow each position.
Sites, in units of the cell vectors:
Sm  0.3205  0.3205  0.6411  4 Cd 3.31, 4 Nd 3.63
Cd  0.6688  0.6688  0.3376  4 Sm 3.31, 4 Nd 3.36
Nd  0.0107  0.0107  0.0214  4 Cd 3.36, 4 Sm 3.63, 4 Nd 3.73

- DOS at the Fermi energy (states/eV/atom) = 1.422
- symmetry = I4mm (107)
- magnetic moment (μB per cell) = 0.0

***

<x>
Computed, not measured: NdSmCd after structural relaxation at the GGA-PBE level of DFT.

a b c (Å): 3.6353 5.3476 5.3476
angles (deg): 120.00 90.00 90.00
Closest atoms and distances in Å follow each position.
Sites, in units of the cell vectors:
Sm  0.9506  0.0000  0.0000  3 Cd 3.24, 3 Nd 3.45
Cd  0.6761  0.6667  0.3333  3 Sm 3.24, 3 Nd 3.28
Nd  0.3733  0.3333  0.6667  3 Cd 3.28, 3 Sm 3.45, 2 Nd 3.64

- DOS at the Fermi energy (states/eV/atom) = 1.286
- symmetry = P3m1 (156)
- magnetic moment (μB per cell) = 0.0

***

Quick one: most stable of them? <w>

***

<w>
Computed, not measured: Nd3Sm2Cd after structural relaxation at the GGA-PBE level of DFT.

a b c (Å): 3.6822 3.6822 14.4421
angles (deg): 90.00 90.00 90.00
Closest atoms and distances in Å follow each position.
Sites, in units of the cell vectors:
Nd  0.0000  0.0000  0.6461  4 Cd 3.35, 4 Sm 3.64, 4 Nd 3.68
Sm  0.5000  0.5000  0.8226  8 Nd 3.64-3.65, 4 Sm 3.68
Sm  0.5000  0.5000  0.1774  8 Nd 3.64-3.65, 4 Sm 3.68
Cd  0.5000  0.5000  0.5000  8 Nd 3.35, 4 Cd 3.68
Nd  0.0000  0.0000  0.3539  4 Cd 3.35, 4 Sm 3.64, 4 Nd 3.68
Nd  0.0000  0.0000  0.0000  8 Sm 3.65, 4 Nd 3.68

- DOS at the Fermi energy (states/eV/atom) = 1.274
- symmetry = P4/mmm (123)
- magnetic moment (μB per cell) = 0.0

***

<x>
Computed, not measured: Nd3Sm2Cd after structural relaxation at the GGA-PBE level of DFT.

a b c (Å): 6.2246 6.2407 11.7784
angles (deg): 84.87 79.68 60.09
Closest atoms and distances in Å follow each position.
Sites, in units of the cell vectors:
Nd  0.0799  0.3398  0.7560  2 Cd 3.49-3.51, 4 Sm 3.53-3.63, 6 Nd 3.56-3.68
Nd  0.9201  0.6602  0.2440  2 Cd 3.49-3.51, 4 Sm 3.53-3.63, 6 Nd 3.56-3.68
Sm  0.0000  0.0000  0.0000  6 Nd 3.53, 6 Cd 3.59-3.60
Cd  0.6679  0.6642  0.0000  6 Nd 3.49-3.51, 3 Cd 3.58-3.63, 3 Sm 3.59-3.60
Sm  0.8365  0.3270  0.5000  6 Sm 3.54-3.64, 6 Nd 3.62-3.63
Nd  0.2598  0.0000  0.2426  2 Cd 3.49, 4 Sm 3.53-3.63, 6 Nd 3.57-3.66
Nd  0.5803  0.3398  0.2440  2 Cd 3.49-3.51, 4 Sm 3.53-3.63, 6 Nd 3.56-3.68
Nd  0.4197  0.6602  0.7560  2 Cd 3.49-3.51, 4 Sm 3.53-3.63, 6 Nd 3.56-3.68
Sm  0.1635  0.6730  0.5000  6 Sm 3.54-3.64, 6 Nd 3.62-3.63
Sm  0.5000  0.0000  0.5000  6 Sm 3.58-3.64, 6 Nd 3.61-3.63
Cd  0.3321  0.3358  0.0000  6 Nd 3.49-3.51, 3 Cd 3.58-3.63, 3 Sm 3.59-3.60
Nd  0.7402  0.0000  0.7574  2 Cd 3.49, 4 Sm 3.53-3.63, 6 Nd 3.57-3.66

- DOS at the Fermi energy (states/eV/atom) = 1.161
- symmetry = C2/m (12)
- magnetic moment (μB per cell) = 0.0

***

Quick one: most stable of them? <w>

***

<w>
Computed, not measured: Nd6Sm12Cd after structural relaxation at the GGA-PBE level of DFT.

a b c (Å): 8.6474 8.6474 8.6474
angles (deg): 89.04 89.04 89.04
Closest atoms and distances in Å follow each position.
Sites, in units of the cell vectors:
Cd  0.0000  0.0000  0.0000  6 Nd 3.48, 6 Sm 3.52
Sm  0.4343  0.7815  0.5359  6 Sm 3.35-3.75, 3 Nd 3.41-3.49
Nd  0.2619  0.0953  0.7051  7 Sm 3.41-3.73, 1 Cd 3.48, 2 Nd 3.52
Nd  0.9047  0.2949  0.7381  7 Sm 3.41-3.73, 1 Cd 3.48, 2 Nd 3.52
Nd  0.0953  0.7051  0.2619  7 Sm 3.41-3.73, 1 Cd 3.48, 2 Nd 3.52
Nd  0.7051  0.2619  0.0953  7 Sm 3.41-3.73, 1 Cd 3.48, 2 Nd 3.52
Sm  0.6385  0.9828  0.8197  4 Nd 3.48-3.73, 1 Cd 3.52, 4 Sm 3.54-3.72
Nd  0.2949  0.7381  0.9047  7 Sm 3.41-3.73, 1 Cd 3.48, 2 Nd 3.52
Sm  0.7815  0.5359  0.4343  6 Sm 3.35-3.75, 3 Nd 3.41-3.49
Sm  0.5657  0.2185  0.4641  6 Sm 3.35-3.75, 3 Nd 3.41-3.49
Sm  0.0172  0.1803  0.3615  4 Nd 3.48-3.73, 1 Cd 3.52, 4 Sm 3.54-3.72
Sm  0.8197  0.6385  0.9828  4 Nd 3.48-3.73, 1 Cd 3.52, 4 Sm 3.54-3.72
Sm  0.9828  0.8197  0.6385  4 Nd 3.48-3.73, 1 Cd 3.52, 4 Sm 3.54-3.72
Sm  0.2185  0.4641  0.5657  6 Sm 3.35-3.75, 3 Nd 3.41-3.49
Sm  0.4641  0.5657  0.2185  6 Sm 3.35-3.75, 3 Nd 3.41-3.49
Sm  0.1803  0.3615  0.0172  4 Nd 3.48-3.73, 1 Cd 3.52, 4 Sm 3.54-3.72
Sm  0.3615  0.0172  0.1803  4 Nd 3.48-3.73, 1 Cd 3.52, 4 Sm 3.54-3.72
Nd  0.7381  0.9047  0.2949  7 Sm 3.41-3.73, 1 Cd 3.48, 2 Nd 3.52
Sm  0.5359  0.4343  0.7815  6 Sm 3.35-3.75, 3 Nd 3.41-3.49

- DOS at the Fermi energy (states/eV/atom) = 1.507
- symmetry = R-3 (148)
- magnetic moment (μB per cell) = 0.0

***

<x>
Computed, not measured: Nd6Sm12Cd after structural relaxation at the GGA-PBE level of DFT.

a b c (Å): 8.7860 8.7860 8.7860
angles (deg): 97.22 97.22 97.22
Closest atoms and distances in Å follow each position.
Sites, in units of the cell vectors:
Sm  0.5817  0.1708  0.5815  5 Sm 3.23-3.55
Sm  0.4183  0.8292  0.4185  5 Sm 3.23-3.55
Sm  0.1708  0.5815  0.5817  5 Sm 3.23-3.55
Sm  0.8292  0.4185  0.4183  5 Sm 3.23-3.55
Sm  0.9996  0.2605  0.7396  4 Nd 3.40-3.54, 1 Cd 3.43, 6 Sm 3.43-3.72
Nd  0.1348  0.4067  0.1337  4 Sm 3.40-3.54, 3 Nd 3.59-3.79, 1 Cd 3.62
Sm  0.2604  0.0004  0.7395  4 Nd 3.40-3.54, 1 Cd 3.43, 6 Sm 3.43-3.72
Sm  0.5815  0.5817  0.1708  5 Sm 3.23-3.55
Nd  0.1337  0.1348  0.4067  4 Sm 3.40-3.54, 3 Nd 3.59-3.79, 1 Cd 3.62
Sm  0.4185  0.4183  0.8292  5 Sm 3.23-3.55
Nd  0.8663  0.8652  0.5933  4 Sm 3.40-3.54, 3 Nd 3.59-3.79, 1 Cd 3.62
Nd  0.5933  0.8663  0.8652  4 Sm 3.40-3.54, 3 Nd 3.59-3.79, 1 Cd 3.62
Sm  0.0004  0.7395  0.2604  4 Nd 3.40-3.54, 1 Cd 3.43, 6 Sm 3.43-3.72
Sm  0.7395  0.2604  0.0004  4 Nd 3.40-3.54, 1 Cd 3.43, 6 Sm 3.43-3.72
Sm  0.7396  0.9996  0.2605  4 Nd 3.40-3.54, 1 Cd 3.43, 6 Sm 3.43-3.72
Nd  0.8652  0.5933  0.8663  4 Sm 3.40-3.54, 3 Nd 3.59-3.79, 1 Cd 3.62
Cd  0.0000  0.0000  0.0000  6 Sm 3.43, 6 Nd 3.62
Sm  0.2605  0.7396  0.9996  4 Nd 3.40-3.54, 1 Cd 3.43, 6 Sm 3.43-3.72
Nd  0.4067  0.1337  0.1348  4 Sm 3.40-3.54, 3 Nd 3.59-3.79, 1 Cd 3.62

- DOS at the Fermi energy (states/eV/atom) = 1.598
- symmetry = R-3 (148)
- magnetic moment (μB per cell) = 0.0

***

Quick one: most stable of them? <w>

***

<w>
Computed, not measured: Nd2Sm2Cd after structural relaxation at the GGA-PBE level of DFT.

a b c (Å): 3.6941 3.6941 12.0156
angles (deg): 98.84 98.84 90.00
Closest atoms and distances in Å follow each position.
Sites, in units of the cell vectors:
Cd  0.0000  0.0000  0.0000  8 Sm 3.31, 4 Cd 3.69
Nd  0.1947  0.1947  0.3894  4 Sm 3.63, 8 Nd 3.68-3.69
Sm  0.5870  0.5870  0.1739  4 Cd 3.31, 4 Nd 3.63, 4 Sm 3.69
Nd  0.8053  0.8053  0.6106  4 Sm 3.63, 8 Nd 3.68-3.69
Sm  0.4130  0.4130  0.8261  4 Cd 3.31, 4 Nd 3.63, 4 Sm 3.69

- DOS at the Fermi energy (states/eV/atom) = 1.405
- symmetry = I4/mmm (139)
- magnetic moment (μB per cell) = 0.0

***

<x>
Computed, not measured: Nd2Sm2Cd after structural relaxation at the GGA-PBE level of DFT.

a b c (Å): 8.6794 6.4048 9.2356
angles (deg): 68.65 57.50 47.35
Closest atoms and distances in Å follow each position.
Sites, in units of the cell vectors:
Sm  0.2707  0.0000  0.5722  3 Sm 3.45-3.62, 6 Nd 3.50-3.87, 2 Cd 3.65
Nd  0.6750  0.3743  0.7180  2 Cd 3.17-3.41, 2 Nd 3.40-3.53, 3 Sm 3.42-3.52
Sm  0.7293  0.0000  0.4278  3 Sm 3.45-3.62, 6 Nd 3.50-3.87, 2 Cd 3.65
Cd  0.8435  0.3129  0.0000  1 Cd 2.95, 2 Nd 3.17
Nd  0.9507  0.3743  0.2820  2 Cd 3.17-3.41, 2 Nd 3.40-3.53, 3 Sm 3.42-3.52
Sm  0.5968  0.0000  0.1175  3 Sm 3.38-3.62, 4 Cd 3.39-3.65, 4 Nd 3.42-3.59
Cd  0.1565  0.6871  0.0000  1 Cd 2.95, 2 Nd 3.17
Sm  0.4032  0.0000  0.8825  3 Sm 3.38-3.62, 4 Cd 3.39-3.65, 4 Nd 3.42-3.59
Nd  0.0493  0.6257  0.7180  2 Cd 3.17-3.41, 2 Nd 3.40-3.53, 3 Sm 3.42-3.52
Nd  0.3250  0.6257  0.2820  2 Cd 3.17-3.41, 2 Nd 3.40-3.53, 3 Sm 3.42-3.52

- DOS at the Fermi energy (states/eV/atom) = 1.188
- symmetry = C2/m (12)
- magnetic moment (μB per cell) = 0.0

***

Quick one: most stable of them? <w>

***

<w>
Computed, not measured: Nd2CdSn2 after structural relaxation at the GGA-PBE level of DFT.

a b c (Å): 7.8483 7.8483 9.2592
angles (deg): 90.00 90.00 90.00
Closest atoms and distances in Å follow each position.
Sites, in units of the cell vectors:
Nd  0.1749  0.6751  0.0000  6 Sn 3.17-3.35
Sn  0.6296  0.1296  0.7500  1 Sn 2.88, 2 Cd 3.08, 2 Nd 3.17
Sn  0.3704  0.8704  0.7500  1 Sn 2.88, 2 Cd 3.08, 2 Nd 3.17
Nd  0.3249  0.1749  0.0000  6 Sn 3.17-3.35
Nd  0.1751  0.6749  0.5000  6 Sn 3.17-3.35
Nd  0.6751  0.8251  0.0000  6 Sn 3.17-3.35
Sn  0.8704  0.6296  0.7500  1 Sn 2.88, 2 Cd 3.08, 2 Nd 3.17
Sn  0.1296  0.3704  0.7500  1 Sn 2.88, 2 Cd 3.08, 2 Nd 3.17
Sn  0.8704  0.6296  0.2500  1 Sn 2.88, 2 Cd 3.08, 2 Nd 3.17
Cd  0.5000  0.5000  0.2502  4 Sn 3.08
Cd  0.0000  0.0000  0.7502  4 Sn 3.08
Sn  0.3704  0.8704  0.2500  1 Sn 2.88, 2 Cd 3.08, 2 Nd 3.17
Cd  0.5000  0.5000  0.7498  4 Sn 3.08
Nd  0.8251  0.3249  0.0000  6 Sn 3.17-3.35
Sn  0.1296  0.3704  0.2500  1 Sn 2.88, 2 Cd 3.08, 2 Nd 3.17
Nd  0.6749  0.8249  0.5000  6 Sn 3.17-3.35
Nd  0.3251  0.1751  0.5000  6 Sn 3.17-3.35
Cd  0.0000  0.0000  0.2498  4 Sn 3.08
Sn  0.6296  0.1296  0.2500  1 Sn 2.88, 2 Cd 3.08, 2 Nd 3.17
Nd  0.8249  0.3251  0.5000  6 Sn 3.17-3.35

- DOS at the Fermi energy (states/eV/atom) = 0.442
- symmetry = P4/mbm (127)
- magnetic moment (μB per cell) = 0.0

***

<x>
Computed, not measured: Nd2CdSn2 after structural relaxation at the GGA-PBE level of DFT.

a b c (Å): 4.7059 6.4109 10.4154
angles (deg): 79.65 76.94 68.47
Closest atoms and distances in Å follow each position.
Sites, in units of the cell vectors:
Nd  0.4985  0.3285  0.6746  6 Sn 3.28-3.45, 3 Cd 3.37-3.55
Sn  0.8568  0.7166  0.5699  3 Cd 2.88-3.02, 1 Sn 3.08
Nd  0.6821  0.7396  0.8962  6 Sn 3.23-3.58, 2 Cd 3.42
Nd  0.5015  0.6715  0.3254  6 Sn 3.28-3.45, 3 Cd 3.37-3.55
Sn  0.0431  0.8073  0.1064  1 Cd 2.95, 1 Sn 2.98, 5 Nd 3.23-3.28
Sn  0.1432  0.2834  0.4301  3 Cd 2.88-3.02, 1 Sn 3.08
Sn  0.9569  0.1927  0.8936  1 Cd 2.95, 1 Sn 2.98, 5 Nd 3.23-3.28
Nd  0.3179  0.2604  0.1038  6 Sn 3.23-3.58, 2 Cd 3.42
Cd  0.7951  0.0746  0.3352  4 Sn 2.88-3.02
Cd  0.2049  0.9254  0.6648  4 Sn 2.88-3.02

- DOS at the Fermi energy (states/eV/atom) = 0.733
- symmetry = C2/m (12)
- magnetic moment (μB per cell) = 0.0

***

Quick one: most stable of them? <w>

***

<w>
Computed, not measured: Sr2NdCd3 after structural relaxation at the GGA-PBE level of DFT.

a b c (Å): 3.9669 3.9669 12.0962
angles (deg): 90.00 90.00 90.00
Closest atoms and distances in Å follow each position.
Sites, in units of the cell vectors:
Cd  0.0000  0.0000  0.3505  4 Nd 3.34, 4 Sr 3.54, 1 Cd 3.62
Cd  0.0000  0.0000  0.0000  8 Sr 3.49
Sr  0.5000  0.5000  0.8279  8 Cd 3.49-3.54
Sr  0.5000  0.5000  0.1721  8 Cd 3.49-3.54
Nd  0.5000  0.5000  0.5000  8 Cd 3.34
Cd  0.0000  0.0000  0.6495  4 Nd 3.34, 4 Sr 3.54, 1 Cd 3.62

- DOS at the Fermi energy (states/eV/atom) = 0.925
- symmetry = P4/mmm (123)
- magnetic moment (μB per cell) = 0.2

***

<x>
Computed, not measured: Sr2NdCd3 after structural relaxation at the GGA-PBE level of DFT.

a b c (Å): 5.6537 8.9078 7.9490
angles (deg): 90.00 89.99 71.50
Closest atoms and distances in Å follow each position.
Sites, in units of the cell vectors:
Cd  0.8282  0.3436  0.2297  3 Nd 3.30-3.37, 5 Sr 3.43-3.61, 1 Cd 3.65
Nd  0.6652  0.6695  0.0000  8 Cd 3.30-3.37
Sr  0.3341  0.3318  0.5000  8 Cd 3.48-3.55
Sr  0.6659  0.6682  0.5000  8 Cd 3.48-3.55
Cd  0.8282  0.3436  0.7703  3 Nd 3.30-3.37, 5 Sr 3.43-3.61, 1 Cd 3.65
Cd  0.1718  0.6564  0.7703  3 Nd 3.30-3.37, 5 Sr 3.43-3.61, 1 Cd 3.65
Sr  0.0000  0.0000  0.0000  8 Cd 3.39-3.43
Cd  0.5001  0.0000  0.7638  2 Nd 3.36, 6 Sr 3.39-3.52, 1 Cd 3.76
Nd  0.3348  0.3305  0.0000  8 Cd 3.30-3.37
Cd  0.1718  0.6564  0.2297  3 Nd 3.30-3.37, 5 Sr 3.43-3.61, 1 Cd 3.65
Cd  0.4999  0.0000  0.2362  2 Nd 3.36, 6 Sr 3.39-3.52, 1 Cd 3.76
Sr  0.0000  0.0000  0.5000  8 Cd 3.52-3.61

- DOS at the Fermi energy (states/eV/atom) = 0.946
- symmetry = Cmmm (65)
- magnetic moment (μB per cell) = 0.0

***

Quick one: most stable of them? <w>